Model A:
10
Lattice="7.2950 0.0000 0.0000 0.0000 7.2950 0.0000 0.0000 0.0000 3.7881" Properties=species:S:1:pos:R:3 comment="Ti2AlSb2 PBE optimized geometry" crystal_system=tetragonal spacegroup="P4/mbm (127)" pbc="T T T"
Ti 1.0664 2.5811 0.0000
Ti 2.5811 6.2285 0.0000
Ti 4.7139 1.0664 0.0000
Ti 6.2285 4.7139 0.0000
Al 0.0000 0.0000 0.0000
Al 3.6475 3.6475 0.0000
Sb 1.1337 4.7812 1.8940
Sb 2.5138 1.1337 1.8940
Sb 4.7812 6.1613 1.8940
Sb 6.1613 2.5138 1.8940


Model B:
10
Lattice="7.6176 0.0000 0.0000 0.0000 7.6176 0.0000 0.0000 0.0000 3.5612" Properties=species:S:1:pos:R:3 comment="Ti2AlSb2 PBE optimized geometry" crystal_system=tetragonal spacegroup="P4/mbm (127)" pbc="T T T"
Ti 1.0509 2.7579 0.0000
Ti 2.7579 6.5667 0.0000
Ti 4.8597 1.0509 0.0000
Ti 6.5667 4.8597 0.0000
Al 0.0000 0.0000 1.7806
Al 3.8088 3.8088 1.7806
Sb 1.1758 4.9847 1.7806
Sb 2.6330 1.1758 1.7806
Sb 4.9847 6.4418 1.7806
Sb 6.4418 2.6330 1.7806


The least stable of them is model B.